1.
SrPdPt2: relaxed, GGA-PBE.

CIF file:
```
data_SrPdPt2
_chemical_formula_sum 'Sr4 Pd4 Pt8'
_space_group_name_H-M_alt 'F m -3 m'
_space_group_IT_number 225
_space_group_name_Hall '-F 4 2 3'
_cell_length_a 6.7706
_cell_length_b 6.7706
_cell_length_c 6.7706
_cell_angle_alpha 90.00
_cell_angle_beta 90.00
_cell_angle_gamma 90.00
loop_
_atom_site_label
_atom_site_fract_x
_atom_site_fract_y
_atom_site_fract_z
Sr1 0.0000 0.0000 0.0000
Pd1 0.0000 0.0000 0.5000
Pt1 0.2500 0.2500 0.2500
```

E_form: -0.166 eV per atom
total DFT energy (no corrections): -4.905 eV per atom


2.
Ac2ScAsO6: relaxed, GGA-PBE.

CIF file:
```
data_Ac2ScAsO6
_chemical_formula_sum 'Ac4 Sc2 As2 O12'
_space_group_name_H-M_alt 'P m m n'
_space_group_IT_number 59
_cell_length_a 5.8772
_cell_length_b 8.2613
_cell_length_c 6.1531
_cell_angle_alpha 90.00
_cell_angle_beta 90.00
_cell_angle_gamma 90.00
loop_
_space_group_symop_operation_xyz
'x,y,z'
'-x,-y,-z'
'-x+1/2,-y+1/2,z'
'x+1/2,y+1/2,-z'
'x+1/2,-y,-z'
'-x+1/2,y,z'
'-x,y+1/2,-z'
'x,-y+1/2,z'
loop_
_atom_site_label
_atom_site_fract_x
_atom_site_fract_y
_atom_site_fract_z
Ac1 0.2500 0.0213 0.2345
Sc1 0.2500 0.7500 0.7725
As1 0.2500 0.2500 0.7680
O1 0.0094 0.2500 0.9721
O2 0.0139 0.2500 0.4278
O3 0.2500 0.5010 0.8201
```

formation energy without anion corrections: -2706 meV/atom
total DFT energy (no corrections): -7.601 eV per atom


3.
CsBaNi2Ir: relaxed, GGA-PBE.

CIF file:
```
data_CsBaNi2Ir
_chemical_formula_sum 'Cs1 Ba1 Ni2 Ir1'
_space_group_name_H-M_alt 'P 4/m m m'
_space_group_IT_number 123
_space_group_name_Hall '-P 4 2'
_cell_length_a 5.2968
_cell_length_b 5.2968
_cell_length_c 5.3622
_cell_angle_alpha 90.00
_cell_angle_beta 90.00
_cell_angle_gamma 90.00
loop_
_atom_site_label
_atom_site_fract_x
_atom_site_fract_y
_atom_site_fract_z
Cs1 0.0000 0.0000 0.0000
Ba1 0.5000 0.5000 0.5000
Ni1 0.0000 0.5000 0.5000
Ir1 0.5000 0.5000 0.0000
```

E_form: 1.640 eV per atom
total DFT energy (no corrections): -3.000 eV per atom


4.
DyGaFe: relaxed, GGA-PBE.

CIF file:
```
data_DyGaFe
_chemical_formula_sum 'Dy1 Ga1 Fe1'
_space_group_name_H-M_alt 'P -6 m 2'
_space_group_IT_number 187
_space_group_name_Hall 'P -6 2'
_cell_length_a 4.2504
_cell_length_b 4.2504
_cell_length_c 3.7173
_cell_angle_alpha 90.00
_cell_angle_beta 90.00
_cell_angle_gamma 120.00
loop_
_atom_site_label
_atom_site_fract_x
_atom_site_fract_y
_atom_site_fract_z
Dy1 0.0000 0.0000 0.0000
Ga1 0.3333 0.6667 0.5000
Fe1 0.6667 0.3333 0.5000
```

E_form: -0.231 eV per atom
total DFT energy (no corrections): -5.595 eV per atom


5.
TlIr2Pt: relaxed, GGA-PBE.

CIF file:
```
data_TlIr2Pt
_chemical_formula_sum 'Tl1 Ir2 Pt1'
_space_group_name_H-M_alt 'P 4/m m m'
_space_group_IT_number 123
_space_group_name_Hall '-P 4 2'
_cell_length_a 2.9491
_cell_length_b 2.9491
_cell_length_c 7.7401
_cell_angle_alpha 90.00
_cell_angle_beta 90.00
_cell_angle_gamma 90.00
loop_
_atom_site_label
_atom_site_fract_x
_atom_site_fract_y
_atom_site_fract_z
Tl1 0.0000 0.0000 0.0000
Ir1 0.5000 0.5000 0.2730
Pt1 0.0000 0.0000 0.5000
```

ΔE to the lowest computed polymorph: 124 meV per atom
E_form: 0.444 eV per atom
total DFT energy (no corrections): -6.088 eV per atom


6.
CoCuAu2: relaxed, GGA-PBE.

CIF file:
```
data_CoCuAu2
_chemical_formula_sum 'Co2 Cu2 Au4'
_space_group_name_H-M_alt 'C 1 2/m 1'
_space_group_IT_number 12
_cell_length_a 8.8236
_cell_length_b 2.8136
_cell_length_c 4.9762
_cell_angle_alpha 90.00
_cell_angle_beta 100.07
_cell_angle_gamma 90.00
loop_
_space_group_symop_operation_xyz
'x,y,z'
'-x,-y,-z'
'-x,y,-z'
'x,-y,z'
'x+1/2,y+1/2,z'
'-x+1/2,-y+1/2,-z'
'-x+1/2,y+1/2,-z'
'x+1/2,-y+1/2,z'
loop_
_atom_site_label
_atom_site_fract_x
_atom_site_fract_y
_atom_site_fract_z
Co1 0.0000 0.0000 0.0000
Cu1 0.0000 0.5000 0.5000
Au1 0.2482 0.5000 0.2483
```

E_form: 0.222 eV per atom
total DFT energy (no corrections): -4.218 eV per atom